# 1
Compound: LiSn2F11
Source: the Alexandria database
Functional: PBE-GGA
Structure: optimized geometry

a = 8.293 Å, b = 10.584 Å, c = 10.174 Å
α = 90.00°, β = 90.00°, γ = 90.00°
Space group Ibam (No. 72)
Symmetry-distinct sites (fractional):
Li 0.000 0.000 0.250
Sn 0.118 0.243 0.000
F 0.000 0.500 0.000
F 0.117 0.113 0.138
F 0.119 0.376 0.138
F 0.133 0.245 0.500

Total magnetization = 0.15 μB/atom
Formation energy (no corrections) = -2.09 eV per atom

# 2
Compound: Pu2IrO11
Source: the Alexandria database
Functional: PBE-GGA
Structure: optimized geometry

a = 8.599 Å, b = 8.620 Å, c = 9.761 Å
α = 90.00°, β = 90.00°, γ = 90.00°
Space group Ibam (No. 72)
Symmetry-distinct sites (fractional):
Pu 0.172 0.172 0.000
Ir 0.000 0.500 0.250
O 0.000 0.000 0.000
O 0.061 0.307 0.142
O 0.179 0.180 0.500
O 0.193 0.439 0.358

Total magnetization = 0.11 μB/atom
Formation energy (no corrections) = -1.11 eV per atom

# 3
Compound: Pr2SmHg
Source: the Alexandria database
Functional: PBE-GGA
Structure: optimized geometry

a = 3.7246 Å, b = 3.7246 Å, c = 32.9847 Å
α = 90.00°, β = 90.00°, γ = 120.00°
Space group R-3m (No. 166, hexagonal axes)
Symmetry-distinct sites (fractional):
Pr 0.0000 0.0000 0.2433
Sm 0.0000 0.0000 0.0000
Hg 0.0000 0.0000 0.5000

Total magnetization = 0.00 μB/atom
Energy above the lowest structure with this stoichiometry = 7.8 kJ per mole of atoms
ΔE_f = -0.57 eV/f.u.

# 4
Compound: TiBiSe2
Source: the Alexandria database
Functional: PBE-GGA
Structure: optimized geometry

a = 5.009 Å, b = 5.009 Å, c = 3.521 Å
α = 90.00°, β = 90.00°, γ = 90.00°
Space group P4/mmm (No. 123)
Symmetry-distinct sites (fractional):
Ti 0.000 0.000 0.000
Bi 0.500 0.500 0.000
Se 0.000 0.500 0.500

Total magnetization = 0.47 μB/atom
Formation energy (no corrections) = -0.17 eV per atom

# 5
Compound: Tl2HgSb2
Source: the Alexandria database
Functional: PBE-GGA
Structure: optimized geometry

a = 5.954 Å, b = 5.954 Å, c = 9.886 Å
α = 90.00°, β = 90.00°, γ = 90.00°
Space group I4/mmm (No. 139)
Symmetry-distinct sites (fractional):
Tl 0.000 0.500 0.250
Hg 0.000 0.000 0.000
Sb 0.000 0.000 0.359

Total magnetization = 0.00 μB/atom
Energy above the lowest structure with this stoichiometry = 6.8 kJ per mole of atoms
Formation energy (no corrections) = 0.09 eV per atom

# 6
Compound: AcErNiOs
Source: the Alexandria database
Functional: PBE-GGA
Structure: optimized geometry

a = 7.054 Å, b = 7.054 Å, c = 7.054 Å
α = 90.00°, β = 90.00°, γ = 90.00°
Space group F-43m (No. 216)
Symmetry-distinct sites (fractional):
Ac 0.000 0.000 0.000
Er 0.000 0.000 0.500
Ni 0.250 0.250 0.750
Os 0.250 0.250 0.250

Total magnetization = 0.00 μB/atom
ΔE_f = -0.23 eV/f.u.

# 7
Compound: Ta2BeCr
Source: the Alexandria database
Functional: PBE-GGA
Structure: optimized geometry

a = 7.902 Å, b = 7.902 Å, c = 4.140 Å
α = 90.00°, β = 90.00°, γ = 90.00°
Space group I-42d (No. 122)
Symmetry-distinct sites (fractional):
Ta 0.128 0.750 0.125
Be 0.000 0.000 0.000
Cr 0.000 0.000 0.500

Total magnetization = 0.00 μB/atom
ΔE_f = 3.95 eV/f.u.

# 8
Compound: CaLaOs
Source: the Alexandria database
Functional: PBE-GGA
Structure: optimized geometry

a = 6.925 Å, b = 6.925 Å, c = 6.925 Å
α = 90.00°, β = 90.00°, γ = 90.00°
Space group F-43m (No. 216)
Symmetry-distinct sites (fractional):
Ca 0.000 0.000 0.000
La 0.000 0.000 0.500
Os 0.250 0.250 0.250

Total magnetization = 0.00 μB/atom
Energy above the lowest structure with this stoichiometry = 7.4 kJ per mole of atoms
ΔE_f = 0.47 eV/f.u.

# 9
Compound: Sm5Hg4Ru
Source: the Alexandria database
Functional: PBE-GGA
Structure: optimized geometry

a = 3.652 Å, b = 3.652 Å, c = 19.469 Å
α = 90.00°, β = 90.00°, γ = 90.00°
Space group P4/mmm (No. 123)
Symmetry-distinct sites (fractional):
Sm 0.000 0.000 0.000
Sm 0.000 0.000 0.206
Sm 0.000 0.000 0.415
Hg 0.500 0.500 0.103
Hg 0.500 0.500 0.307
Ru 0.500 0.500 0.500

Total magnetization = 0.07 μB/atom
ΔE_f = -4.23 eV/f.u.

# 10
Compound: MgSc4Pd2
Source: the Alexandria database
Functional: PBE-GGA
Structure: optimized geometry

a = 4.5556 Å, b = 4.5556 Å, c = 27.0532 Å
α = 90.00°, β = 90.00°, γ = 120.00°
Space group R-3m (No. 166, hexagonal axes)
Symmetry-distinct sites (fractional):
Mg 0.0000 0.0000 0.0000
Sc 0.0000 0.0000 0.2016
Sc 0.0000 0.0000 0.3941
Pd 0.0000 0.0000 0.0991

Total magnetization = 0.00 μB/atom
ΔE_f = -2.22 eV/f.u.

# 11
Compound: Sc3Sb
Source: the Alexandria database
Functional: PBE-GGA
Structure: optimized geometry

a = 4.322 Å, b = 4.322 Å, c = 9.788 Å
α = 90.00°, β = 90.00°, γ = 90.00°
Space group I4/mmm (No. 139)
Symmetry-distinct sites (fractional):
Sc 0.000 0.000 0.000
Sc 0.000 0.500 0.250
Sb 0.000 0.000 0.500

Total magnetization = 0.31 μB/atom
Energy above the lowest structure with this stoichiometry = 4.8 kJ per mole of atoms
Formation energy (no corrections) = -0.50 eV per atom

# 12
Compound: PuIrAu
Source: the Alexandria database
Functional: PBE-GGA
Structure: optimized geometry

a = 3.640 Å, b = 15.085 Å, c = 4.317 Å
α = 90.00°, β = 90.00°, γ = 90.00°
Space group Cmcm (No. 63)
Symmetry-distinct sites (fractional):
Pu 0.000 0.089 0.250
Ir 0.000 0.426 0.250
Au 0.000 0.238 0.750

Total magnetization = 1.53 μB/atom
Energy above the lowest structure with this stoichiometry = 0.0 kJ per mole of atoms
ΔE_f = -0.94 eV/f.u.

no.,calculated density (Mg/m³)
1,3.372
2,7.860
3,7.954
4,7.795
5,8.082
6,12.170
7,10.867
8,7.384
9,10.586
10,4.272
11,4.662
12,17.741